Entry from Alexandria: a relaxed Ba2NaGe3Pd4 crystal (GGA-PBE).

CIF file:
```
data_Ba2NaGe3Pd4
_chemical_formula_sum 'Ba2 Na1 Ge3 Pd4'
_cell_length_a 4.549
_cell_length_b 4.549
_cell_length_c 10.717
_cell_angle_alpha 90.00
_cell_angle_beta 90.00
_cell_angle_gamma 90.00
_symmetry_space_group_name_H-M 'P -4 m 2'
_symmetry_Int_Tables_number 115
loop_
_symmetry_equiv_pos_as_xyz
'x,y,z'
'y,-x,-z'
'-x,-y,z'
'-y,x,-z'
'-x,y,z'
'-y,-x,-z'
'x,-y,z'
'y,x,-z'
loop_
_atom_site_label
_atom_site_type_symbol
_atom_site_fract_x
_atom_site_fract_y
_atom_site_fract_z
Ba1 Ba 0.000 0.500 0.248
Na1 Na 0.000 0.000 0.500
Ge1 Ge 0.000 0.500 0.887
Ge2 Ge 0.500 0.500 0.500
Pd1 Pd 0.000 0.000 0.000
Pd2 Pd 0.000 0.500 0.644
Pd3 Pd 0.500 0.500 0.000
```

E	-4.560	eV/atom

=====

Entry from Alexandria: a relaxed CeCo2H8Ru crystal (GGA-PBE).

CIF file:
```
data_CeCo2H8Ru
_chemical_formula_sum 'Ce3 Co6 H24 Ru3'
_cell_length_a 4.5373
_cell_length_b 4.5373
_cell_length_c 15.7993
_cell_angle_alpha 90.00
_cell_angle_beta 90.00
_cell_angle_gamma 120.00
_symmetry_space_group_name_H-M 'R -3'
_symmetry_Int_Tables_number 148
_symmetry_space_group_name_Hall '-R 3'
loop_
_atom_site_label
_atom_site_type_symbol
_atom_site_fract_x
_atom_site_fract_y
_atom_site_fract_z
Ce1 Ce 0.0000 0.0000 0.0000
Co1 Co 0.0000 0.0000 0.2013
H1 H 0.0000 0.0000 0.3035
H2 H 0.0137 0.3021 0.1171
Ru1 Ru 0.0000 0.0000 0.5000
```

E	-4.811	eV/atom

=====

Entry from Alexandria: a relaxed CdNi2Mo2 crystal (GGA-PBE).

CIF file:
```
data_CdNi2Mo2
_chemical_formula_sum 'Cd2 Ni4 Mo4'
_cell_length_a 3.704
_cell_length_b 3.704
_cell_length_c 11.499
_cell_angle_alpha 90.00
_cell_angle_beta 90.00
_cell_angle_gamma 90.00
_symmetry_space_group_name_H-M 'I 4/m m m'
_symmetry_Int_Tables_number 139
_symmetry_space_group_name_Hall '-I 4 2'
loop_
_atom_site_label
_atom_site_type_symbol
_atom_site_fract_x
_atom_site_fract_y
_atom_site_fract_z
Cd1 Cd 0.000 0.000 0.000
Ni1 Ni 0.000 0.000 0.403
Mo1 Mo 0.000 0.500 0.250
```

E	-6.493	eV/atom